1.
The following is a DFT calculation (PBE) of a relaxed DyEr2Al2 crystal.

extended XYZ file:
```
10
Lattice="3.582 0.000 0.000 0.000 5.556 -0.014 0.000 -1.376 13.226" Properties=species:S:1:pos:R:3 pbc="T T T"
Al 0.895 0.622 12.647
Al 2.686 3.558 0.565
Al 2.686 0.685 4.509
Al 0.895 3.495 8.702
Er 0.895 3.479 11.730
Er 2.686 0.701 1.482
Er 2.686 3.479 6.097
Er 0.895 0.701 7.114
Dy 0.895 3.466 3.105
Dy 2.686 0.715 10.107
```

Calculated values
- ΔE_f: -0.14 eV per atom
- Relative energy among the computed polymorphs: 178 meV/atom

---

2.
The following is a DFT calculation (PBE) of a relaxed Li6CdSi2 crystal.

extended XYZ file:
```
9
Lattice="5.148 -0.020 -0.476 -0.548 5.106 -0.599 -0.034 0.084 5.169" Properties=species:S:1:pos:R:3 pbc="T T T"
Li 0.582 2.619 3.899
Li 4.153 0.904 2.088
Li 2.115 4.233 0.153
Li 0.414 4.267 2.006
Li 3.984 2.551 0.195
Li 2.452 0.937 3.941
Si 3.020 3.420 2.708
Si 1.547 1.751 1.386
Cd 0.000 0.000 0.000
```

Calculated values
- Formation energy from raw total energies: -0.191 eV/atom

---

3.
The following is a DFT calculation (PBE) of a relaxed Cs3Ag2I3Cl2 crystal.

extended XYZ file:
```
10
Lattice="5.358 0.000 0.000 0.000 5.358 0.000 -2.679 -2.679 15.019" Properties=species:S:1:pos:R:3 pbc="T T T"
I 2.679 2.679 11.202
I 0.000 0.000 3.817
I 2.679 2.679 0.000
Ag 0.000 0.000 6.607
Ag 2.679 2.679 8.412
Cl 2.679 0.000 7.509
Cl 0.000 2.679 7.509
Cs 2.679 2.679 4.490
Cs 0.000 0.000 0.000
Cs 0.000 0.000 10.528
```

Calculated values
- Formation energy from raw total energies: -1.128 eV/atom

---

4.
The following is a DFT calculation (PBE) of a relaxed Ca2PrH8Rh crystal.

extended XYZ file:
```
12
Lattice="-0.641 2.349 -4.144 -3.369 -3.039 1.585 -3.056 5.160 3.397" Properties=species:S:1:pos:R:3 pbc="T T T"
H -4.085 1.501 1.483
H -3.645 5.812 -0.370
H -2.980 2.968 -0.644
H -3.752 -0.128 -0.934
H -3.421 -1.343 1.209
H -5.387 4.240 0.449
H -1.679 0.229 0.389
H -3.314 4.597 1.772
Ca -5.066 3.158 2.573
Ca -1.999 1.311 -1.735
Pr -1.528 2.580 1.699
Rh 0.000 0.000 0.000
```

Calculated values
- Final energy: -4.01 eV/atom

---

5.
The following is a DFT calculation (PBE) of a relaxed LiScGe crystal.

extended XYZ file:
```
6
Lattice="-2.003 0.070 4.265 2.505 -3.750 -1.365 4.652 2.326 2.146" Properties=species:S:1:pos:R:3 pbc="T T T"
Sc 0.663 -0.622 2.925
Sc 4.491 -0.732 2.121
Ge 2.166 -1.895 1.048
Ge 2.989 0.541 3.998
Li 0.000 0.000 0.000
Li 2.326 1.163 1.073
```

Calculated values
- ΔE_f: -0.61 eV per atom

---

6.
The following is a DFT calculation (PBE) of a relaxed CaTaCoAs2 crystal.

extended XYZ file:
```
5
Lattice="4.929 0.000 0.000 0.000 5.940 0.000 0.000 0.000 4.929" Properties=species:S:1:pos:R:3 pbc="T T T"
As 2.464 0.000 0.000
As 0.000 0.000 2.464
Ca 0.000 2.970 0.000
Ta 0.000 0.000 0.000
Co 2.464 2.970 2.464
```

Calculated values
- ΔE_f: 0.91 eV per atom

---

| no. | total magnetic moment (μB/cell) |
| --- | --- |
| 1 | 0.00 |
| 2 | 0.00 |
| 3 | 0.00 |
| 4 | 0.00 |
| 5 | 0.00 |
| 6 | 2.82 |